## KNbHg2 (GGA-PBE)

Data for an optimized crystal structure of KNbHg2.

abc: 5.6092 5.6092 19.3486
angles: 90.00 90.00 90.00
Space group I-42d (No. 122)
Symmetry-distinct sites (fractional):
K 0.0000 0.0000 0.0000
Nb 0.0000 0.0000 0.5000
Hg 0.1040 0.2500 0.6250

Results
* M_tot: 3.64 μB/f.u.
* distance to the lowest polymorph of the same formula: 0.50 eV per formula unit
* D(E_F): 3.7 states/eV/f.u.



## KNbHg (GGA-PBE)

Data for an optimized crystal structure of KNbHg.

abc: 9.8183 3.2618 10.4943
angles: 90.00 90.00 90.00
Space group Pnma (No. 62)
Symmetry-distinct sites (fractional):
K 0.0734 0.2500 0.1612
Nb 0.0853 0.2500 0.5464
Hg 0.2368 0.2500 0.8717

Results
* M_tot: 0.00 μB/f.u.
* distance to the lowest polymorph of the same formula: 0.72 eV per formula unit
* D(E_F): 1.8 states/eV/f.u.



## KNbHg (GGA-PBE)

Data for an optimized crystal structure of KNbHg.

abc: 13.3887 5.3217 5.3194
angles: 90.00 90.00 90.00
Space group Pnma (No. 62)
Symmetry-distinct sites (fractional):
K 0.2365 0.2500 0.0048
Nb 0.0032 0.2500 0.5001
Hg 0.0000 0.0000 0.0000

Results
* M_tot: 0.00 μB/f.u.
* distance to the lowest polymorph of the same formula: 1.14 eV per formula unit
* D(E_F): 2.1 states/eV/f.u.



## KNbHg2 (GGA-PBE)

Data for an optimized crystal structure of KNbHg2.

abc: 7.4129 7.4129 7.4129
angles: 90.00 90.00 90.00
Space group Fm-3m (No. 225)
Symmetry-distinct sites (fractional):
K 0.0000 0.0000 0.0000
Nb 0.0000 0.0000 0.5000
Hg 0.2500 0.2500 0.2500

Results
* M_tot: 2.58 μB/f.u.
* distance to the lowest polymorph of the same formula: 0.00 eV per formula unit
* D(E_F): 6.7 states/eV/f.u.



## KNbHg (GGA-PBE)

Data for an optimized crystal structure of KNbHg.

abc: 3.3516 4.7702 12.3733
angles: 90.00 92.16 90.00
Space group Pm (No. 6)
Symmetry-distinct sites (fractional):
K 0.0000 0.0000 0.0000
K 0.4029 0.5000 0.3159
Nb 0.4398 0.5000 0.5873
Nb 0.9603 0.5000 0.7484
Hg 0.4630 0.0000 0.7544
Hg 0.9287 0.0000 0.5197

Results
* M_tot: 0.00 μB/f.u.
* distance to the lowest polymorph of the same formula: 0.42 eV per formula unit
* D(E_F): 3.5 states/eV/f.u.



## KNbHg (GGA-PBE)

Data for an optimized crystal structure of KNbHg.

abc: 8.7460 3.0189 11.3001
angles: 90.00 90.00 90.00
Space group Pnma (No. 62)
Symmetry-distinct sites (fractional):
K 0.1442 0.2500 0.0822
Nb 0.0391 0.2500 0.4019
Hg 0.1735 0.2500 0.7891

Results
* M_tot: 0.00 μB/f.u.
* distance to the lowest polymorph of the same formula: 0.76 eV per formula unit
* D(E_F): 2.7 states/eV/f.u.